# 1
This record from Alexandria describes a relaxed Tm2CoRe3 crystal. The functional is PBE-GGA.

Structure (POSCAR):
```
Tm2CoRe3
1.0
4.6366 -0.1330 -2.4281
-2.9476 4.3209 -0.2312
-0.1305 0.1944 5.3868
Re Tm Co
3 2 1
Cartesian
0.7792 2.1911 1.3638
2.2530 0.0307 1.4794
-0.0653 0.0972 2.6934
-0.7956 2.8389 3.9654
2.3541 1.5434 -1.2379
0.0000 0.0000 0.0000
```

Calculated values
formation energy = -135.6 kJ/mol of formula units

# 2
This record from Alexandria describes a relaxed UCo2Re crystal. The functional is PBE-GGA.

Structure (POSCAR):
```
UCo2Re
1.0
-0.1014 1.1321 2.4767
1.3527 -1.1372 2.0743
7.6379 4.9763 -0.4628
Re Co U
1 2 1
Cartesian
0.0000 0.0000 0.0000
6.8194 3.8335 3.0243
2.0698 1.1377 1.0639
4.4446 2.4856 2.0441
```

Calculated values
E above lowest polymorph = 8.30 kcal/mol of atoms
formation energy = 109.4 kJ/mol of formula units

# 3
This record from Alexandria describes a relaxed U2Co9Re crystal. The functional is PBE-GGA.

Structure (POSCAR):
```
U2Co9Re
1.0
-3.0751 -1.6572 -1.2130
2.0324 -2.7695 -1.3688
-0.8799 -5.3826 9.5839
Co Re U
9 1 2
Cartesian
-1.6735 -1.6603 0.8744
0.5763 -4.0760 4.1076
-1.9775 -3.5199 4.1855
-0.5214 -2.2133 -1.2909
0.2723 -5.9356 7.4186
-1.1138 -5.8375 5.1621
-2.2815 -5.3794 7.4965
-0.8088 -3.9717 1.8400
0.8802 -2.2165 0.7965
0.0000 0.0000 0.0000
-0.5900 -3.6094 6.4267
-0.2898 -1.7732 3.1572
```

Calculated values
formation energy = -152.9 kJ/mol of formula units

# 4
This record from Alexandria describes a relaxed U2CoRe crystal. The functional is PBE-GGA.

Structure (POSCAR):
```
U2CoRe
1.0
2.9238 0.0000 0.0000
1.4619 2.5321 0.0000
1.4619 0.8440 9.4888
U Re Co
2 1 1
Cartesian
4.3857 2.5321 2.3766
1.4619 0.8440 7.1122
2.9238 1.6881 4.7444
0.0000 0.0000 0.0000
```

Calculated values
E above lowest polymorph = 6.55 kcal/mol of atoms
formation energy = 153.3 kJ/mol of formula units

# 5
This record from Alexandria describes a relaxed U2CoRe crystal. The functional is PBE-GGA.

Structure (POSCAR):
```
U2CoRe
1.0
-0.4774 -2.0336 2.6321
2.9814 -1.4405 -0.5722
2.7512 4.2052 3.7480
U Co Re
2 1 1
Cartesian
2.1588 3.2997 2.9409
0.5924 0.9055 0.8070
1.2520 -1.7371 1.0299
2.6276 0.3655 2.9039
```

Calculated values
E above lowest polymorph = 0.00 kcal/mol of atoms
formation energy = 43.6 kJ/mol of formula units

# 6
This record from Alexandria describes a relaxed UCo2Re crystal. The functional is PBE-GGA.

Structure (POSCAR):
```
UCo2Re
1.0
3.8139 0.0000 0.0000
0.0000 3.8993 0.0000
0.0000 0.0000 3.8993
Re Co U
1 2 1
Cartesian
1.9069 0.0000 0.0000
0.0000 1.9496 0.0000
0.0000 0.0000 1.9496
1.9069 1.9496 1.9496
```

Calculated values
E above lowest polymorph = 0.00 kcal/mol of atoms
formation energy = -29.5 kJ/mol of formula units

# 7
This record from Alexandria describes a relaxed VCo6Re crystal. The functional is PBE-GGA.

Structure (POSCAR):
```
VCo6Re
1.0
4.0438 0.0000 0.0000
0.0000 4.4531 -2.3817
0.0000 -0.1639 5.0474
Co Re V
6 1 1
Cartesian
0.0000 0.2738 1.9037
0.0000 2.4610 3.2631
2.0219 3.9739 0.7385
2.0219 1.8676 -0.5705
2.0219 4.0545 -1.7403
0.0000 2.5443 0.6898
0.0000 0.2205 4.4287
2.0219 1.7598 1.9521
```

Calculated values
E above lowest polymorph = 0.00 kcal/mol of atoms
formation energy = -82.4 kJ/mol of formula units

# 8
This record from Alexandria describes a relaxed VCoRe crystal. The functional is PBE-GGA.

Structure (POSCAR):
```
VCoRe
1.0
-2.2059 -1.2377 0.2124
1.5293 -3.1408 -2.4203
0.4850 -0.1404 4.2198
V Co Re
1 1 1
Cartesian
-0.2630 -2.9510 -0.0679
-0.3320 -0.1863 0.0320
0.4034 -1.3816 2.0478
```

Calculated values
E above lowest polymorph = 3.28 kcal/mol of atoms
formation energy = 20.1 kJ/mol of formula units

# 9
This record from Alexandria describes a relaxed VCoRe crystal. The functional is PBE-GGA.

Structure (POSCAR):
```
VCoRe
1.0
2.5973 0.0000 0.0000
0.0000 2.5973 0.0000
-1.2986 -1.2986 5.7750
Co V Re
1 1 1
Cartesian
1.2986 1.2986 1.3534
1.2986 1.2986 5.3166
0.0000 0.0000 3.1474
```

Calculated values
E above lowest polymorph = 0.00 kcal/mol of atoms
formation energy = -21.1 kJ/mol of formula units

# 10
This record from Alexandria describes a relaxed VCo3Re crystal. The functional is PBE-GGA.

Structure (POSCAR):
```
VCo3Re
1.0
-3.7921 -1.6060 0.1011
1.6089 -3.7789 0.3185
-0.0314 0.3327 4.1059
V Co Re
1 3 1
Cartesian
0.0000 0.0000 0.0000
-0.0157 0.1663 2.0529
0.8044 -1.8894 0.1592
-1.8961 -0.8030 0.0506
-1.1073 -2.5261 2.2627
```

Calculated values
E above lowest polymorph = 31.48 kcal/mol of atoms
formation energy = 648.1 kJ/mol of formula units

# 11
This record from Alexandria describes a relaxed V4CoRe2 crystal. The functional is PBE-GGA.

Structure (POSCAR):
```
V4CoRe2
1.0
4.2213 0.0000 0.0000
0.0000 4.2213 0.0000
2.1107 2.1107 6.2130
V Re Co
4 2 1
Cartesian
0.0000 2.1107 0.0000
2.1107 0.0000 0.0000
4.2213 4.2213 2.3358
2.1107 2.1107 3.8771
2.1107 2.1107 1.5268
4.2213 4.2213 4.6862
0.0000 0.0000 0.0000
```

Calculated values
formation energy = 568.6 kJ/mol of formula units

# 12
This record from Alexandria describes a relaxed V2Co4Re crystal. The functional is PBE-GGA.

Structure (POSCAR):
```
V2Co4Re
1.0
-0.9529 -4.3392 -0.3254
0.4412 0.2350 -4.4264
5.3693 -3.3244 -1.8828
Co V Re
4 2 1
Cartesian
0.2206 0.1175 -2.2132
1.7690 -4.6201 -4.5518
3.0885 -2.8085 -2.0827
-0.4765 -2.1696 -0.1627
0.8005 -2.2910 -2.2833
4.0571 -5.1376 -4.3512
0.0000 0.0000 0.0000
```

Calculated values
formation energy = 804.8 kJ/mol of formula units

Number 1: total energy -54.80 eV for the cell shown. Number 2: total energy -36.81 eV for the cell shown. Number 3: total energy -100.56 eV for the cell shown. Number 4: total energy -40.54 eV for the cell shown. Number 5: total energy -41.68 eV for the cell shown. Number 6: total energy -38.25 eV for the cell shown. Number 7: total energy -65.06 eV for the cell shown. Number 8: total energy -28.46 eV for the cell shown. Number 9: total energy -28.89 eV for the cell shown. Number 10: total energy -36.17 eV for the cell shown. Number 11: total energy -62.58 eV for the cell shown. Number 12: total energy -50.77 eV for the cell shown.